[1]
First-principles (GGA-PBE) data for crystalline AsPbAu at its relaxed geometry, as listed in the Alexandria database.

Cell and atoms, written as POSCAR:
```
AsPbAu
1.0
-0.6464 -4.9507 -2.4828
1.0955 -3.2109 6.1174
-7.6216 0.2459 1.4939
As Pb Au
4 4 4
direct
0.2500 0.9786 0.5091
0.2500 0.5214 0.0091
0.7500 0.0214 0.4909
0.7500 0.4786 0.9909
0.7500 0.5942 0.3903
0.2500 0.0942 0.1097
0.7500 0.9058 0.8903
0.2500 0.4058 0.6097
0.2500 0.7956 0.7905
0.7500 0.2956 0.7095
0.7500 0.2044 0.2095
0.2500 0.7044 0.2905
```

ΔH_f (0 K), eV per atom: 0.0050
E above lowest polymorph, meV/atom: 69.9
Space group: Pnma (62)

=====

[2]
First-principles (GGA-PBE) data for crystalline NaTm2TaO6 at its relaxed geometry, as listed in the Alexandria database.

Cell and atoms, written as POSCAR:
```
NaTm2TaO6
1.0
5.6113 0.0001 0.0003
2.8057 4.8595 0.0000
2.8056 1.6199 5.0015
Na Tm Ta O
1 2 1 6
direct
0.7969 0.7969 0.6094
0.5228 0.5228 0.4316
0.0184 0.0184 0.9448
0.3185 0.3185 0.0445
0.5781 0.2371 0.2290
0.2371 0.9559 0.2289
0.9558 0.5781 0.2289
0.3834 0.6964 0.7660
0.6964 0.1541 0.7660
0.1541 0.3835 0.7660
```

Space group: R3 (146)
Energy relative to the elements, uncorrected, eV/atom: -3.1292

=====

[3]
First-principles (GGA-PBE) data for crystalline Dy2PtAu2 at its relaxed geometry, as listed in the Alexandria database.

Cell and atoms, written as POSCAR:
```
Dy2PtAu2
1.0
-2.0236 4.8131 -2.7736
2.1826 -2.2353 -5.4714
-5.7535 -4.2756 3.0793
Dy Pt Au
4 2 4
direct
0.3525 0.6086 0.7050
0.6475 0.3914 0.2950
0.1475 0.9036 0.2950
0.8525 0.0964 0.7050
0.7500 0.5000 0.0000
0.2500 0.5000 0.0000
0.8738 0.6551 0.7477
0.1262 0.3449 0.2523
0.6262 0.9074 0.2523
0.3738 0.0926 0.7477
```

ΔH_f (0 K), eV per atom: -0.8339
E above lowest polymorph, meV/atom: 82.5
Space group: Ibam (72)